VASP calculation (PBE-GGA) on a relaxed structure of Tl2AgBr4.

Cell lengths 7.5172, 16.0388, 7.9287 Å; angles 90.00, 90.00, 90.00 degrees
Closest atoms and distances in Å follow each position.
Atoms (fractional coordinates):
Tl1 0.0242 0.1376 0.0403  6 Br 3.21-3.58
Tl2 0.0242 0.3624 0.5403  6 Br 3.21-3.58
Tl3 0.4758 0.6376 0.0403  6 Br 3.21-3.58
Tl4 0.4758 0.8624 0.5403  6 Br 3.21-3.58
Tl5 0.5242 0.1376 0.4597  6 Br 3.21-3.58
Tl6 0.5242 0.3624 0.9597  6 Br 3.21-3.58
Tl7 0.9758 0.6376 0.4597  6 Br 3.21-3.58
Tl8 0.9758 0.8624 0.9597  6 Br 3.21-3.58
Ag1 0.0000 0.0000 0.5000  6 Br 2.73-2.77
Ag2 0.0000 0.5000 0.0000  6 Br 2.73-2.77
Ag3 0.5000 0.0000 0.0000  6 Br 2.73-2.77
Ag4 0.5000 0.5000 0.5000  6 Br 2.73-2.77
Br1 0.0167 0.6684 0.0523  1 Ag 2.74
Br2 0.0167 0.8316 0.5523  1 Ag 2.74
Br3 0.2467 0.5192 0.7439  2 Ag 2.73-2.77
Br4 0.2467 0.9808 0.2439  2 Ag 2.73-2.77
Br5 0.2533 0.0192 0.7439  2 Ag 2.73-2.77
Br6 0.2533 0.4808 0.2439  2 Ag 2.73-2.77
Br7 0.4833 0.1684 0.0523  1 Ag 2.74
Br8 0.4833 0.3316 0.5523  1 Ag 2.74
Br9 0.5167 0.6684 0.4477  1 Ag 2.74
Br10 0.5167 0.8316 0.9477  1 Ag 2.74
Br11 0.7467 0.5192 0.7561  2 Ag 2.73-2.77
Br12 0.7467 0.9808 0.2561  2 Ag 2.73-2.77
Br13 0.7533 0.0192 0.7561  2 Ag 2.73-2.77
Br14 0.7533 0.4808 0.2561  2 Ag 2.73-2.77
Br15 0.9833 0.1684 0.4477  1 Ag 2.74
Br16 0.9833 0.3316 0.9477  1 Ag 2.74

Properties
Energy relative to the lowest polymorph listed for this composition = 0.00 kJ per mole of atoms

VASP calculation (PBE-GGA) on a relaxed structure of SeF.

Cell lengths 4.8921, 6.4160, 6.6080 Å; angles 105.49, 108.48, 101.08 degrees
Closest atoms and distances in Å follow each position.
Atoms (fractional coordinates):
Se1 0.0000 0.0000 0.0000  2 Se 2.30-2.43
Se2 0.0710 0.2433 0.3514  1 Se 2.30
Se3 0.6907 0.1390 0.7302  1 F 1.83
Se4 0.8219 0.8584 0.3752  3 F 1.85-2.05
F1 0.0234 0.3667 0.7823  1 Se 1.83
F2 0.2225 0.8912 0.6235  2 Se 2.05-2.29
F3 0.4311 0.8268 0.1917  1 Se 1.85
F4 0.6607 0.6503 0.4878  1 Se 1.86

Properties
Energy relative to the lowest polymorph listed for this composition = 13.43 kJ per mole of atoms

VASP calculation (PBE-GGA) on a relaxed structure of SrMgHg2.

Cell lengths 5.4277, 5.4277, 5.8579 Å; angles 105.22, 105.22, 44.11 degrees
Closest atoms and distances in Å follow each position.
Atoms (fractional coordinates):
Sr1 0.0000 0.0000 0.0000  5 Hg 3.25-3.41, 1 Mg 3.55
Mg1 0.2202 0.2202 0.6224  5 Hg 2.96-3.01
Hg1 0.4983 0.4983 0.5331  3 Mg 2.96-2.99, 2 Hg 3.20
Hg2 0.7588 0.7588 0.2696  2 Mg 3.01, 2 Hg 3.20, 3 Sr 3.25-3.33

Properties
Energy of formation = -0.287 eV per atom

VASP calculation (PBE-GGA) on a relaxed structure of Rb2HfAlBr6.

Cell lengths 8.0368, 8.0368, 8.0368 Å; angles 60.00, 60.00, 60.00 degrees
Closest atoms and distances in Å follow each position.
Atoms (fractional coordinates):
Rb1 0.2500 0.2500 0.2500  12 Br 4.02
Rb2 0.7500 0.7500 0.7500  12 Br 4.02
Hf1 0.0000 0.0000 0.0000  6 Br 2.68
Al1 0.5000 0.5000 0.5000  6 Br 3.00
Br1 0.2356 0.2356 0.7644  1 Hf 2.68
Br2 0.2356 0.7644 0.2356  1 Hf 2.68
Br3 0.2356 0.7644 0.7644  1 Hf 2.68
Br4 0.7644 0.2356 0.2356  1 Hf 2.68
Br5 0.7644 0.2356 0.7644  1 Hf 2.68
Br6 0.7644 0.7644 0.2356  1 Hf 2.68

Properties
Total DFT energy (no corrections) = -3.755 eV per atom

What did we get for total moment? Answer: 0.00 0.00 0.00 1.00 Bohr magnetons per cell, in the order shown.